Record 1
The following is a DFT calculation (PBE) of a relaxed AcZn3Pt2 crystal.

Density = 11.21 g/cm3
Volume = 20.08 Å³ per atom
Uncorrected energy = -96.4 eV/cell
Offset from the most stable computed form = 24.8 meV/atom
DFT formation energy = -0.68 eV/atom

Lattice parameters (Å, degrees): 16.0765 4.2249 7.9397 90.00 116.67 90.00
Space group C2/m (No. 12)
Symmetry-distinct sites (fractional):
Ac (0.1458, 0.0000, 0.0600) (multiplicity 4)
Zn (0.0380, 0.0000, 0.3822) (multiplicity 4)
Zn (0.0946, 0.5000, 0.6661) (multiplicity 4)
Zn (0.1868, 0.5000, 0.4600) (multiplicity 4)
Pt (0.0178, 0.5000, 0.1819) (multiplicity 4)
Pt (0.1975, 0.0000, 0.6860) (multiplicity 4)

Record 2
The following is a DFT calculation (PBE) of a relaxed PmDy2Ir2 crystal.

Density = 11.09 g/cm3
Volume = 25.59 Å³ per atom
Uncorrected energy = -70.4 eV/cell
Offset from the most stable computed form = 11.9 meV/atom
DFT formation energy = -0.71 eV/atom

Lattice parameters (Å, degrees): 5.5560 4.4274 10.4962 90.00 97.66 90.00
Space group P2_1/m (No. 11)
Symmetry-distinct sites (fractional):
Pm (0.0590, 0.2500, 0.2856) (multiplicity 2)
Dy (0.2686, 0.7500, 0.0311) (multiplicity 2)
Dy (0.3812, 0.2500, 0.6116) (multiplicity 2)
Ir (0.1564, 0.7500, 0.4673) (multiplicity 2)
Ir (0.2006, 0.2500, 0.8641) (multiplicity 2)

Record 3
The following is a DFT calculation (PBE) of a relaxed RbNpPb2O8 crystal.

Density = 7.02 g/cm3
Volume = 17.05 Å³ per atom
Uncorrected energy = -78.3 eV/cell
Uncorrected formation energy = -139.4 kJ per mole of atoms

Lattice parameters (Å, degrees): 5.3898 5.4111 7.0278 88.06 87.76 87.81
Space group P-1 (No. 2)
Symmetry-distinct sites (fractional):
Rb (0.0000, 0.0000, 0.0000) (multiplicity 1)
Np (0.0000, 0.0000, 0.5000) (multiplicity 1)
Pb (0.4908, 0.4923, 0.2501) (multiplicity 2)
O (0.1832, 0.8134, 0.6855) (multiplicity 2)
O (0.1935, 0.8217, 0.3124) (multiplicity 2)
O (0.3096, 0.3139, 0.4919) (multiplicity 2)
O (0.3200, 0.3403, 0.9855) (multiplicity 2)

- What is the density in the second record?
  11.09 g/cm3